Entry 1:
Material: Th2ScAs3Rh4
Method: DFT, PBE
State: relaxed

Computed properties:
energy of formation from the pure elements = -96.7 kJ per mole of atoms
size of the total moment = 0.00 μB per formula unit
DOS at the Fermi energy = 5.9 states/eV per cell
calculated volume = 189.7 Å³ per cell

a b c (Å): 4.106 4.106 11.255
angles (deg): 90.00 90.00 90.00
Space group P-4m2 (No. 115)
One atom of each set of equivalent atoms:
Th 0.000 0.500 0.230 (multiplicity 2)
Sc 0.000 0.000 0.500 (multiplicity 1)
As 0.000 0.500 0.868 (multiplicity 2)
As 0.500 0.500 0.500 (multiplicity 1)
Rh 0.000 0.000 0.000 (multiplicity 1)
Rh 0.000 0.500 0.651 (multiplicity 2)
Rh 0.500 0.500 0.000 (multiplicity 1)

Entry 2:
Material: ThScAs2Rh5
Method: DFT, PBE
State: relaxed

Computed properties:
energy of formation from the pure elements = -79.6 kJ per mole of atoms
size of the total moment = 0.00 μB per formula unit
DOS at the Fermi energy = 4.5 states/eV per cell
calculated volume = 153.9 Å³ per cell

a b c (Å): 4.201 4.201 8.721
angles (deg): 90.00 90.00 90.00
Space group P4/mmm (No. 123)
One atom of each set of equivalent atoms:
Th 0.000 0.000 0.000 (multiplicity 1)
Sc 0.000 0.000 0.500 (multiplicity 1)
As 0.500 0.500 0.148 (multiplicity 2)
Rh 0.000 0.500 0.280 (multiplicity 4)
Rh 0.500 0.500 0.500 (multiplicity 1)

Entry 3:
Material: TmScAs2Rh5
Method: DFT, PBE
State: relaxed

Computed properties:
energy of formation from the pure elements = -70.2 kJ per mole of atoms
size of the total moment = 0.00 μB per formula unit
DOS at the Fermi energy = 6.3 states/eV per cell
calculated volume = 151.9 Å³ per cell

a b c (Å): 4.178 4.178 8.704
angles (deg): 90.00 90.00 90.00
Space group P4/mmm (No. 123)
One atom of each set of equivalent atoms:
Tm 0.000 0.000 0.000 (multiplicity 1)
Sc 0.000 0.000 0.500 (multiplicity 1)
As 0.500 0.500 0.359 (multiplicity 2)
Rh 0.000 0.500 0.233 (multiplicity 4)
Rh 0.500 0.500 0.000 (multiplicity 1)

Entry 4:
Material: ScUAs2Rh5
Method: DFT, PBE
State: relaxed

Computed properties:
energy of formation from the pure elements = -61.0 kJ per mole of atoms
size of the total moment = 2.19 μB per formula unit
DOS at the Fermi energy = 11.1 states/eV per cell
calculated volume = 149.7 Å³ per cell

a b c (Å): 4.091 4.091 8.943
angles (deg): 90.00 90.00 90.00
Space group P4/mmm (No. 123)
One atom of each set of equivalent atoms:
Sc 0.000 0.000 0.000 (multiplicity 1)
U 0.000 0.000 0.500 (multiplicity 1)
As 0.500 0.500 0.359 (multiplicity 2)
Rh 0.000 0.500 0.219 (multiplicity 4)
Rh 0.500 0.500 0.000 (multiplicity 1)

Please write out number 1 again, unchanged.
Material: Th2ScAs3Rh4
Method: DFT, PBE
State: relaxed

Computed properties:
energy of formation from the pure elements = -96.7 kJ per mole of atoms
size of the total moment = 0.00 μB per formula unit
DOS at the Fermi energy = 5.9 states/eV per cell
calculated volume = 189.7 Å³ per cell

a b c (Å): 4.106 4.106 11.255
angles (deg): 90.00 90.00 90.00
Space group P-4m2 (No. 115)
One atom of each set of equivalent atoms:
Th 0.000 0.500 0.230 (multiplicity 2)
Sc 0.000 0.000 0.500 (multiplicity 1)
As 0.000 0.500 0.868 (multiplicity 2)
As 0.500 0.500 0.500 (multiplicity 1)
Rh 0.000 0.000 0.000 (multiplicity 1)
Rh 0.000 0.500 0.651 (multiplicity 2)
Rh 0.500 0.500 0.000 (multiplicity 1)